# 1
Material: SiIrSe2
Method: DFT, PBE-GGA
State: optimized geometry

Values from the calculation:
- SG = P4mm (99)
- energy relative to the elements, uncorrected (eV/atom) = 0.161

a b c (Å): 3.290 3.290 7.289
angles (deg): 90.00 90.00 90.00
Positions (direct):
Si1 0.000 0.000 0.000
Ir1 0.500 0.500 0.140
Se1 0.000 0.000 0.360
Se2 0.500 0.500 0.797

=====

# 2
Material: CePaSnHg
Method: DFT, PBE-GGA
State: optimized geometry

Values from the calculation:
- SG = F-43m (216)
- DFT formation energy (eV/atom) = -0.121

a b c (Å): 5.365 5.365 5.365
angles (deg): 60.00 60.00 60.00
Positions (direct):
Ce1 0.000 0.000 0.000
Pa1 0.500 0.500 0.500
Sn1 0.750 0.750 0.750
Hg1 0.250 0.250 0.250

=====

# 3
Material: Pr3Ga2Cu
Method: DFT, PBE-GGA
State: optimized geometry

Values from the calculation:
- SG = Pnma (62)
- DFT formation energy (eV/atom) = -0.422

a b c (Å): 12.090 4.447 11.663
angles (deg): 90.00 90.00 90.00
Positions (direct):
Pr1 0.050 0.250 0.126
Pr2 0.127 0.750 0.561
Pr3 0.221 0.250 0.801
Pr4 0.279 0.750 0.301
Pr5 0.373 0.250 0.061
Pr6 0.450 0.750 0.626
Pr7 0.550 0.250 0.374
Pr8 0.627 0.750 0.939
Pr9 0.721 0.250 0.699
Pr10 0.779 0.750 0.199
Pr11 0.873 0.250 0.439
Pr12 0.950 0.750 0.874
Ga1 0.018 0.750 0.315
Ga2 0.191 0.750 0.999
Ga3 0.309 0.250 0.499
Ga4 0.482 0.250 0.815
Ga5 0.518 0.750 0.185
Ga6 0.691 0.750 0.501
Ga7 0.809 0.250 0.001
Ga8 0.982 0.250 0.685
Cu1 0.123 0.250 0.376
Cu2 0.377 0.750 0.876
Cu3 0.623 0.250 0.124
Cu4 0.877 0.750 0.624

=====

| no. | spin magnetization (Bohr magnetons per cell) | N(E_F) (states/eV/f.u.) |
| --- | --- | --- |
| 1 | 0.0 | 1.36 |
| 2 | 2.9 | 15.04 |
| 3 | 0.0 | 5.52 |